[1]
A plane-wave DFT calculation with PBE was carried out for a relaxed structure of AlINO2.

Geometry as CIF:
```
data_AlINO2
_chemical_formula_sum 'Al1 I1 N1 O2'
_symmetry_space_group_name_H-M 'P 4/m m m'
_symmetry_Int_Tables_number 123
_symmetry_space_group_name_Hall '-P 4 2'
_cell_length_a 3.703
_cell_length_b 3.703
_cell_length_c 4.068
_cell_angle_alpha 90.00
_cell_angle_beta 90.00
_cell_angle_gamma 90.00
loop_
_atom_site_label
_atom_site_type_symbol
_atom_site_fract_x
_atom_site_fract_y
_atom_site_fract_z
_atom_site_occupancy
Al1 Al 0.000 0.000 0.000 1
I1 I 0.500 0.500 0.500 1
N1 N 0.000 0.000 0.500 1
O1 O 0.000 0.500 0.000 1
```

magnetic moment: 0.0 μB/cell
energy relative to the elements, uncorrected: -342 meV/atom

[2]
A plane-wave DFT calculation with PBE was carried out for a relaxed structure of AlI2NO.

Geometry as CIF:
```
data_AlI2NO
_chemical_formula_sum 'Al1 I2 N1 O1'
_symmetry_space_group_name_H-M 'P 4/m m m'
_symmetry_Int_Tables_number 123
_symmetry_space_group_name_Hall '-P 4 2'
_cell_length_a 5.102
_cell_length_b 5.102
_cell_length_c 3.701
_cell_angle_alpha 90.00
_cell_angle_beta 90.00
_cell_angle_gamma 90.00
loop_
_atom_site_label
_atom_site_type_symbol
_atom_site_fract_x
_atom_site_fract_y
_atom_site_fract_z
_atom_site_occupancy
Al1 Al 0.000 0.000 0.000 1
I1 I 0.000 0.500 0.500 1
N1 N 0.500 0.500 0.500 1
O1 O 0.500 0.500 0.000 1
```

relative energy among the computed polymorphs: 4.390 eV per formula unit
magnetic moment: 0.0 μB/cell
energy relative to the elements, uncorrected: 1056 meV/atom

Please write out number 1 again, unchanged.
A plane-wave DFT calculation with PBE was carried out for a relaxed structure of AlINO2.

Geometry as CIF:
```
data_AlINO2
_chemical_formula_sum 'Al1 I1 N1 O2'
_symmetry_space_group_name_H-M 'P 4/m m m'
_symmetry_Int_Tables_number 123
_symmetry_space_group_name_Hall '-P 4 2'
_cell_length_a 3.703
_cell_length_b 3.703
_cell_length_c 4.068
_cell_angle_alpha 90.00
_cell_angle_beta 90.00
_cell_angle_gamma 90.00
loop_
_atom_site_label
_atom_site_type_symbol
_atom_site_fract_x
_atom_site_fract_y
_atom_site_fract_z
_atom_site_occupancy
Al1 Al 0.000 0.000 0.000 1
I1 I 0.500 0.500 0.500 1
N1 N 0.000 0.000 0.500 1
O1 O 0.000 0.500 0.000 1
```

magnetic moment: 0.0 μB/cell
energy relative to the elements, uncorrected: -342 meV/atom